# 1
The following is a GGA-PBE calculation of Ca2Pm5Pr4 after structural relaxation, from Alexandria.

Cell lengths 9.8117, 9.8155, 15.6851 Å; angles 36.79, 152.99, 141.73 degrees
Last column: nearest neighbours and their distance in Å.
Positions (direct):
Pm: 0.5000 0.0000 0.5000  4 Pm 3.64-3.70, 6 Pr 3.65-3.71, 2 Ca 3.71
Pr: 0.8691 0.2742 0.9534  5 Pm 3.59-3.75, 4 Pr 3.68-3.83, 3 Ca 3.71-3.74
Pm: 0.6086 0.8135 0.8748  6 Pm 3.59-3.79, 4 Pr 3.59-3.70, 2 Ca 3.79
Pr: 0.1309 0.7258 0.0466  5 Pm 3.59-3.75, 4 Pr 3.68-3.83, 3 Ca 3.71-3.74
Pr: 0.3128 0.3766 0.7651  4 Pr 3.58-3.83, 6 Pm 3.62-3.71, 2 Ca 3.76-3.77
Pm: 0.3914 0.1865 0.1252  6 Pm 3.59-3.79, 4 Pr 3.59-3.70, 2 Ca 3.79
Pm: 0.2279 0.5579 0.4048  5 Pm 3.59-3.80, 4 Pr 3.62-3.75, 3 Ca 3.70-3.79
Pr: 0.6872 0.6234 0.2349  4 Pr 3.58-3.83, 6 Pm 3.62-3.71, 2 Ca 3.76-3.77
Ca: 0.9526 0.0879 0.3183  1 Ca 3.70, 6 Pm 3.70-3.79, 5 Pr 3.71-3.77
Pm: 0.7721 0.4421 0.5952  5 Pm 3.59-3.80, 4 Pr 3.62-3.75, 3 Ca 3.70-3.79
Ca: 0.0474 0.9121 0.6817  1 Ca 3.70, 6 Pm 3.70-3.79, 5 Pr 3.71-3.77

Calculated values
ΔH_f (0 K) (eV/atom): 0.0419
E (eV/atom): -4.22
D(E_F) (states/eV/f.u.): 15.8



# 2
The following is a GGA-PBE calculation of NaSmTh after structural relaxation, from Alexandria.

Cell lengths 6.6535, 6.6178, 6.4772 Å; angles 75.04, 59.10, 59.82 degrees
Last column: nearest neighbours and their distance in Å.
Positions (direct):
Na: 0.1284 0.7431 0.0000  1 Na 2.94
Th: 0.7500 0.5000 0.5000  2 Th 3.33, 4 Sm 3.43, 4 Na 3.52
Sm: 0.3306 0.0000 0.3389  4 Th 3.43, 3 Sm 3.77-3.78
Na: 0.8716 0.2569 0.0000  1 Na 2.94
Th: 0.2500 0.5000 0.5000  2 Th 3.33, 4 Sm 3.43, 4 Na 3.52
Sm: 0.6694 0.0000 0.6611  4 Th 3.43, 3 Sm 3.77-3.78

Calculated values
Excess energy over the best structure of this formula in the dataset (eV/f.u.): 1.03
ΔH_f (0 K) (eV/atom): 0.5102
E (eV/atom): -3.98
D(E_F) (states/eV/f.u.): 4.0



# 3
The following is a GGA-PBE calculation of SrTl3Au3 after structural relaxation, from Alexandria.

Cell lengths 7.8443, 7.8443, 7.8443 Å; angles 90.00, 90.00, 90.00 degrees
Last column: nearest neighbours and their distance in Å.
Positions (direct):
Tl: 0.0000 0.5000 0.7500  4 Au 2.77
Tl: 0.2500 0.0000 0.5000  4 Au 2.77
Au: 0.5000 0.0000 0.2500  4 Tl 2.77
Sr: 0.5000 0.5000 0.5000  12 Tl 4.39, 12 Au 4.39
Au: 0.7500 0.5000 0.0000  4 Tl 2.77
Au: 0.5000 0.0000 0.7500  4 Tl 2.77
Tl: 0.7500 0.0000 0.5000  4 Au 2.77
Tl: 0.0000 0.5000 0.2500  4 Au 2.77
Tl: 0.5000 0.2500 0.0000  4 Au 2.77
Tl: 0.5000 0.7500 0.0000  4 Au 2.77
Au: 0.2500 0.5000 0.0000  4 Tl 2.77
Au: 0.0000 0.7500 0.5000  4 Tl 2.77
Au: 0.0000 0.2500 0.5000  4 Tl 2.77
Sr: 0.0000 0.0000 0.0000  12 Tl 4.39, 12 Au 4.39

Calculated values
Excess energy over the best structure of this formula in the dataset (eV/f.u.): 2.43
ΔH_f (0 K) (eV/atom): 0.0386
E (eV/atom): -2.62
D(E_F) (states/eV/f.u.): 4.1



# 4
The following is a GGA-PBE calculation of NaAsBr2N after structural relaxation, from Alexandria.

Cell lengths 5.5880, 5.5880, 5.9674 Å; angles 90.00, 90.00, 90.00 degrees
Last column: nearest neighbours and their distance in Å.
Positions (direct):
Br: 0.5000 0.0000 0.0000  2 Na 2.79
N: 0.5000 0.5000 0.5000  4 As 3.95, 8 Br 4.09
Na: 0.0000 0.0000 0.0000  4 Br 2.79, 2 As 2.98
As: 0.0000 0.0000 0.5000  2 Na 2.98
Br: 0.0000 0.5000 0.0000  2 Na 2.79

Calculated values
Excess energy over the best structure of this formula in the dataset (eV/f.u.): 4.69
E (eV/atom): -2.31
D(E_F) (states/eV/f.u.): 7.6
Formation energy without anion corrections (eV per atom): 1.223



# 5
The following is a GGA-PBE calculation of AlCdH2 after structural relaxation, from Alexandria.

Cell lengths 4.1144, 4.1144, 4.1144 Å; angles 60.00, 60.00, 60.00 degrees
Last column: nearest neighbours and their distance in Å.
Positions (direct):
H: 0.2500 0.2500 0.2500  4 Cd 2.52, 4 Al 2.52
Cd: 0.5000 0.5000 0.5000  8 H 2.52
Al: 0.0000 0.0000 0.0000  8 H 2.52
H: 0.7500 0.7500 0.7500  4 Cd 2.52, 4 Al 2.52

Calculated values
Excess energy over the best structure of this formula in the dataset (eV/f.u.): 1.52
E (eV/atom): -2.16
D(E_F) (states/eV/f.u.): 1.0



# 6
The following is a GGA-PBE calculation of KLa2Hg after structural relaxation, from Alexandria.

Cell lengths 3.9009, 3.9031, 10.9283 Å; angles 69.06, 90.00, 90.00 degrees
Last column: nearest neighbours and their distance in Å.
Positions (direct):
Hg: 0.0000 0.5390 0.4613  4 La 3.28
K: 0.5000 0.7986 0.7009  4 Hg 3.69, 4 K 3.90
La: 0.0000 0.9492 0.0509  8 La 3.66-3.90
La: 0.5000 0.2132 0.2869  4 Hg 3.28, 4 La 3.66

Calculated values
ΔH_f (0 K) (eV/atom): -0.0773
E (eV/atom): -2.89
D(E_F) (states/eV/f.u.): 5.3



# 7
The following is a GGA-PBE calculation of ReHgOF2 after structural relaxation, from Alexandria.

Cell lengths 4.3303, 4.3303, 3.8095 Å; angles 90.00, 90.00, 90.00 degrees
Last column: nearest neighbours and their distance in Å.
Positions (direct):
Re: 0.0000 0.0000 0.0000  2 O 1.90
F: 0.5000 0.0000 0.0000  2 Re 2.17
O: 0.0000 0.0000 0.5000  2 Re 1.90
Hg: 0.5000 0.5000 0.5000  8 F 2.88, 4 O 3.06
F: 0.0000 0.5000 0.0000  2 Re 2.17

Calculated values
Excess energy over the best structure of this formula in the dataset (eV/f.u.): 0.00
E (eV/atom): -5.21
D(E_F) (states/eV/f.u.): 3.7
Formation energy without anion corrections (eV per atom): -0.916



# 8
The following is a GGA-PBE calculation of GaCuPt2 after structural relaxation, from Alexandria.

Cell lengths 4.2217, 4.2217, 4.8560 Å; angles 64.23, 64.23, 60.00 degrees
Last column: nearest neighbours and their distance in Å.
Positions (direct):
Pt: 0.2694 0.2694 0.1919  3 Ga 2.66, 4 Pt 2.68-2.87, 4 Cu 2.75-2.84
Ga: 0.6865 0.6865 0.9404  6 Pt 2.48-2.66, 1 Cu 2.51
Cu: 0.4873 0.4873 0.5381  1 Ga 2.51, 4 Pt 2.73-2.75
Pt: 0.0568 0.0568 0.8296  3 Ga 2.48, 1 Pt 2.68, 3 Cu 2.73

Calculated values
ΔH_f (0 K) (eV/atom): -0.2398
E (eV/atom): -5.04
D(E_F) (states/eV/f.u.): 1.6



# 9
The following is a GGA-PBE calculation of NiAs2Se after structural relaxation, from Alexandria.

Cell lengths 3.1577, 4.5328, 4.7454 Å; angles 90.00, 90.00, 90.00 degrees
Last column: nearest neighbours and their distance in Å.
Positions (direct):
Se: 0.0000 0.5000 0.5000  4 Ni 2.76, 4 As 2.85
Ni: 0.5000 0.0000 0.5000  4 Se 2.76, 4 As 2.85
As: 0.5000 0.5000 0.0000  4 As 2.76, 4 Se 2.85
As: 0.0000 0.0000 0.0000  4 As 2.76, 4 Ni 2.85

Calculated values
E (eV/atom): -4.25
D(E_F) (states/eV/f.u.): 2.1
Formation energy without anion corrections (eV per atom): 0.393



# 10
The following is a GGA-PBE calculation of LaCo after structural relaxation, from Alexandria.

Cell lengths 5.1244, 5.1244, 7.1631 Å; angles 90.00, 90.00, 120.00 degrees
Last column: nearest neighbours and their distance in Å.
Positions (direct):
La: 0.6667 0.3333 0.2500  2 Co 2.39
Co: 0.3333 0.6667 0.0843  1 Co 2.37, 1 La 2.39
Co: 0.6667 0.3333 0.9157  1 Co 2.37, 1 La 2.39
La: 0.3333 0.6667 0.7500  2 Co 2.39
Co: 0.3333 0.6667 0.4157  1 Co 2.37, 1 La 2.39
Co: 0.6667 0.3333 0.5843  1 Co 2.37, 1 La 2.39
La: 0.0000 0.0000 0.7500  3 La 2.96, 6 Co 3.19
La: 0.0000 0.0000 0.2500  3 La 2.96, 6 Co 3.19

Calculated values
ΔH_f (0 K) (eV/atom): 0.3241
E (eV/atom): -5.69
D(E_F) (states/eV/f.u.): 3.6



# 11
The following is a GGA-PBE calculation of Ac4GaAg2Au after structural relaxation, from Alexandria.

Cell lengths 5.5680, 5.5680, 9.6611 Å; angles 73.25, 73.25, 60.00 degrees
Last column: nearest neighbours and their distance in Å.
Positions (direct):
Ag: 0.2534 0.2534 0.2398  8 Ac 3.37-3.49
Ac: 0.1258 0.1258 0.6225  3 Au 3.40, 1 Ga 3.44, 4 Ag 3.45-3.49
Ac: 0.3767 0.3767 0.8700  4 Ag 3.37, 1 Au 3.37, 3 Ga 3.43
Ag: 0.7466 0.7466 0.7602  8 Ac 3.37-3.49
Ac: 0.8742 0.8742 0.3775  3 Au 3.40, 1 Ga 3.44, 4 Ag 3.45-3.49
Au: 0.5000 0.5000 0.5000  8 Ac 3.37-3.40
Ac: 0.6233 0.6233 0.1300  4 Ag 3.37, 1 Au 3.37, 3 Ga 3.43
Ga: 0.0000 0.0000 0.0000  8 Ac 3.43-3.44

Calculated values
ΔH_f (0 K) (eV/atom): -0.4443
E (eV/atom): -4.00
D(E_F) (states/eV/f.u.): 5.5



# 12
The following is a GGA-PBE calculation of Sc5Hg2Pd12 after structural relaxation, from Alexandria.

Cell lengths 5.5374, 8.3206, 8.8816 Å; angles 108.87, 90.00, 109.44 degrees
Last column: nearest neighbours and their distance in Å.
Positions (direct):
Pd: 0.9061 0.3116 0.6050  4 Sc 2.68-2.74, 5 Pd 2.76-2.86
Pd: 0.9588 0.3972 0.1121  3 Sc 2.57-2.80, 3 Pd 2.66-2.83
Sc: 0.6395 0.2789 0.8577  7 Pd 2.54-2.80
Hg: 0.7516 0.0000 0.0000  2 Hg 2.75-2.79, 4 Pd 2.93-3.04
Pd: 0.4055 0.3116 0.6050  4 Sc 2.68-2.74, 5 Pd 2.76-2.86
Sc: 0.6880 0.3760 0.3636  9 Pd 2.68-2.97
Pd: 0.4837 0.9673 0.6408  2 Sc 2.54-2.68, 1 Pd 2.72
Pd: 0.0412 0.6028 0.8879  3 Sc 2.57-2.80, 3 Pd 2.66-2.83
Pd: 0.8844 0.7687 0.6923  4 Pd 2.83-2.85, 3 Sc 2.89-2.97, 2 Hg 3.04
Hg: 0.2484 0.0000 0.0000  2 Hg 2.75-2.79, 4 Pd 2.93-3.04
Pd: 0.5616 0.6028 0.8879  3 Sc 2.57-2.80, 3 Pd 2.66-2.83
Pd: 0.5945 0.6884 0.3950  4 Sc 2.68-2.74, 5 Pd 2.76-2.86
Sc: 0.0000 0.0000 0.5000  6 Pd 2.68-2.89
Sc: 0.3120 0.6240 0.6364  9 Pd 2.68-2.97
Pd: 0.1156 0.2313 0.3077  4 Pd 2.83-2.85, 3 Sc 2.89-2.97, 2 Hg 3.04
Pd: 0.5163 0.0327 0.3592  2 Sc 2.54-2.68, 1 Pd 2.72
Sc: 0.3605 0.7211 0.1423  7 Pd 2.54-2.80
Pd: 0.4384 0.3972 0.1121  3 Sc 2.57-2.80, 3 Pd 2.66-2.83
Pd: 0.0939 0.6884 0.3950  4 Sc 2.68-2.74, 5 Pd 2.76-2.86

Calculated values
ΔH_f (0 K) (eV/atom): -0.4988
E (eV/atom): -5.48
D(E_F) (states/eV/f.u.): 8.7



# 13
The following is a GGA-PBE calculation of MgV3N after structural relaxation, from Alexandria.

Cell lengths 4.0062, 4.0062, 4.0062 Å; angles 90.00, 90.00, 90.00 degrees
Last column: nearest neighbours and their distance in Å.
Positions (direct):
V: 0.5000 0.0000 0.0000  2 N 2.00
V: 0.0000 0.5000 0.0000  2 N 2.00
N: 0.0000 0.0000 0.0000  6 V 2.00
V: 0.0000 0.0000 0.5000  2 N 2.00
Mg: 0.5000 0.5000 0.5000  12 V 2.83

Calculated values
Excess energy over the best structure of this formula in the dataset (eV/f.u.): 0.00
E (eV/atom): -7.80
D(E_F) (states/eV/f.u.): 7.8
Formation energy without anion corrections (eV per atom): -0.346



# 14
The following is a GGA-PBE calculation of CaTePt2 after structural relaxation, from Alexandria.

Cell lengths 4.8653, 4.8653, 4.8653 Å; angles 60.00, 60.00, 60.00 degrees
Last column: nearest neighbours and their distance in Å.
Positions (direct):
Pt: 0.0000 0.0000 0.0000  4 Pt 2.98, 4 Te 2.98
Te: 0.7500 0.7500 0.7500  4 Pt 2.98, 4 Ca 2.98
Ca: 0.5000 0.5000 0.5000  4 Te 2.98, 4 Pt 2.98
Pt: 0.2500 0.2500 0.2500  4 Ca 2.98, 4 Pt 2.98

Calculated values
E (eV/atom): -4.63
D(E_F) (states/eV/f.u.): 3.0
Formation energy without anion corrections (eV per atom): -0.322



# 15
The following is a GGA-PBE calculation of MnNi2Te after structural relaxation, from Alexandria.

Cell lengths 3.8681, 3.8681, 8.9873 Å; angles 77.57, 77.57, 90.00 degrees
Last column: nearest neighbours and their distance in Å.
Positions (direct):
Ni: 0.8750 0.8651 0.7500  2 Mn 2.53, 2 Te 2.55, 4 Ni 2.68-2.79
Te: 0.0000 0.0000 0.0000  4 Ni 2.55, 4 Mn 2.74
Mn: 0.5000 0.5000 0.0000  4 Ni 2.53, 4 Te 2.74
Mn: 0.2500 0.7500 0.5000  4 Ni 2.53, 4 Te 2.74
Ni: 0.3750 0.3849 0.7500  2 Mn 2.53, 2 Te 2.55, 4 Ni 2.68-2.79
Ni: 0.1349 0.6250 0.2500  2 Mn 2.53, 2 Te 2.55, 4 Ni 2.68-2.79
Ni: 0.6151 0.1250 0.2500  2 Mn 2.53, 2 Te 2.55, 4 Ni 2.68-2.79
Te: 0.7500 0.2500 0.5000  4 Ni 2.55, 4 Mn 2.74

Calculated values
E (eV/atom): -5.71
D(E_F) (states/eV/f.u.): 2.9
Formation energy without anion corrections (eV per atom): 0.263



# 16
The following is a GGA-PBE calculation of SrCdRe2 after structural relaxation, from Alexandria.

Cell lengths 5.7201, 5.7201, 5.7201 Å; angles 138.73, 138.73, 59.79 degrees
Last column: nearest neighbours and their distance in Å.
Positions (direct):
Cd: 0.7500 0.2500 0.5000  4 Sr 2.85
Sr: 0.2500 0.7500 0.5000  4 Cd 2.85
Re: 0.5000 0.5000 0.0000  4 Re 2.85
Re: 0.0000 0.0000 0.0000  4 Re 2.85

Calculated values
ΔH_f (0 K) (eV/atom): 1.1584
E (eV/atom): -5.71
D(E_F) (states/eV/f.u.): 3.5



# 17
The following is a GGA-PBE calculation of Ac2CuGe7 after structural relaxation, from Alexandria.

Cell lengths 4.6632, 4.6632, 10.4826 Å; angles 90.00, 90.00, 90.00 degrees
Last column: nearest neighbours and their distance in Å.
Positions (direct):
Ge: 0.0000 0.5000 0.6272  5 Ge 2.69-2.72
Ge: 0.0000 0.5000 0.8872  3 Ge 2.61-2.72, 2 Cu 2.61
Ge: 0.0000 0.0000 0.5000  4 Ge 2.69
Ge: 0.0000 0.0000 0.0000  4 Ge 2.61
Ge: 0.5000 0.0000 0.3728  5 Ge 2.69-2.72
Ac: 0.5000 0.0000 0.7609  15 Ge 3.42-3.69, 2 Cu 3.42
Ac: 0.0000 0.5000 0.2391  2 Cu 3.42, 15 Ge 3.42-3.69
Ge: 0.5000 0.0000 0.1128  3 Ge 2.61-2.72, 2 Cu 2.61
Cu: 0.5000 0.5000 0.0000  4 Ge 2.61
Ge: 0.5000 0.5000 0.5000  4 Ge 2.69

Calculated values
ΔH_f (0 K) (eV/atom): -0.2655
E (eV/atom): -4.73
D(E_F) (states/eV/f.u.): 4.6



# 18
The following is a GGA-PBE calculation of Co2TcIr after structural relaxation, from Alexandria.

Cell lengths 5.2057, 5.2057, 6.3703 Å; angles 65.88, 65.88, 90.00 degrees
Last column: nearest neighbours and their distance in Å.
Positions (direct):
Ir: 0.0000 0.0000 0.0000  4 Co 2.26
Co: 0.3750 0.3760 0.7500  2 Tc 2.25, 2 Ir 2.26
Tc: 0.2500 0.7500 0.5000  4 Co 2.25
Tc: 0.5000 0.5000 0.0000  4 Co 2.25
Co: 0.1260 0.6250 0.2500  2 Tc 2.25, 2 Ir 2.26
Ir: 0.7500 0.2500 0.5000  4 Co 2.26
Co: 0.6240 0.1250 0.2500  2 Tc 2.25, 2 Ir 2.26
Co: 0.8750 0.8740 0.7500  2 Tc 2.25, 2 Ir 2.26

Calculated values
Excess energy over the best structure of this formula in the dataset (eV/f.u.): 4.47
ΔH_f (0 K) (eV/atom): 1.0995
E (eV/atom): -7.26
D(E_F) (states/eV/f.u.): 3.0



# 19
The following is a GGA-PBE calculation of NaGaBr2 after structural relaxation, from Alexandria.

Cell lengths 4.2919, 4.2919, 22.3549 Å; angles 90.00, 90.00, 60.00 degrees
Last column: nearest neighbours and their distance in Å.
Positions (direct):
Br: 0.3343 0.3320 0.5780  3 Na 3.03, 3 Ga 3.17-3.18
Na: 0.0018 0.0000 0.1667  6 Br 3.03
Ga: 0.0000 0.9991 0.0000  6 Br 3.17-3.18
Br: 0.6663 0.6680 0.7553  3 Na 3.03, 3 Ga 3.17-3.18
Ga: 0.0009 0.0000 0.6667  6 Br 3.17-3.18
Na: 0.9982 0.0018 0.8333  6 Br 3.03
Br: 0.3337 0.3343 0.2447  3 Na 3.03, 3 Ga 3.17-3.18
Ga: 0.9991 0.0009 0.3333  6 Br 3.17-3.18
Br: 0.6680 0.6657 0.0887  3 Na 3.03, 3 Ga 3.17-3.18
Na: 0.0000 0.9982 0.5000  6 Br 3.03
Br: 0.6657 0.6663 0.4220  3 Na 3.03, 3 Ga 3.17-3.18
Br: 0.3320 0.3337 0.9113  3 Na 3.03, 3 Ga 3.17-3.18

Calculated values
Excess energy over the best structure of this formula in the dataset (eV/f.u.): 0.17
E (eV/atom): -2.94
D(E_F) (states/eV/f.u.): 0.0
Formation energy without anion corrections (eV per atom): -1.021



# 20
The following is a GGA-PBE calculation of HgRhF2 after structural relaxation, from Alexandria.

Cell lengths 8.7740, 8.7740, 8.7740 Å; angles 18.84, 18.84, 18.84 degrees
Last column: nearest neighbours and their distance in Å.
Positions (direct):
F: 0.9253 0.9253 0.9253  1 Rh 1.93
Rh: 0.0000 0.0000 0.0000  2 F 1.93
Hg: 0.5000 0.5000 0.5000  6 Hg 2.87, 6 F 2.90
F: 0.0747 0.0747 0.0747  1 Rh 1.93

Calculated values
Excess energy over the best structure of this formula in the dataset (eV/f.u.): 0.00
E (eV/atom): -3.68
D(E_F) (states/eV/f.u.): 2.1
Formation energy without anion corrections (eV per atom): -0.830